The following is a PBE+U calculation of a geometry-optimized Li3V6Fe4Cu2O24 structure, from the Alexandria database.

POSCAR file:
```
Li3V6Fe4Cu2O24
1.0
6.755 0.000 0.000
-2.143 7.993 0.000
-2.311 -3.477 8.952
Li V Fe Cu O
3 6 4 2 24
Direct
0.000 0.000 0.000
0.421 0.086 0.090
0.579 0.914 0.910
0.149 0.616 0.840
0.226 0.165 0.768
0.413 0.234 0.376
0.587 0.766 0.624
0.774 0.835 0.232
0.851 0.384 0.160
0.040 0.704 0.509
0.368 0.450 0.106
0.632 0.550 0.894
0.960 0.296 0.491
0.296 0.811 0.311
0.704 0.189 0.689
0.009 0.217 0.668
0.084 0.560 0.643
0.091 0.455 0.128
0.181 0.947 0.674
0.229 0.184 0.954
0.236 0.290 0.463
0.275 0.841 0.929
0.301 0.014 0.245
0.327 0.512 0.917
0.340 0.735 0.488
0.456 0.349 0.256
0.490 0.279 0.769
0.510 0.721 0.231
0.544 0.651 0.744
0.660 0.265 0.512
0.673 0.488 0.083
0.699 0.986 0.755
0.725 0.159 0.071
0.764 0.710 0.537
0.771 0.816 0.046
0.819 0.053 0.326
0.909 0.545 0.872
0.916 0.440 0.357
0.991 0.783 0.332
```

Results
Calculated volume in A^3/atom: 12.39
Total DFT energy (no corrections) in eV/cell: -265.82
Crystal system: triclinic
Spin magnetization in μB/f.u.: 21.00
Symmetry: P-1 (2)